The following is a PBE calculation of crystalline ZnInFe at its relaxed geometry, from the Alexandria database.

Summary:
As for the space-group type: I4mm (107). The energy relative to the elements comes out at 240 meV per atom. Its distance to the lowest polymorph of the same formula is 0.00 eV/f.u.

a b c (Å): 6.408 6.408 6.408
angles (deg): 154.16 154.16 36.87
Positions (direct):
Zn1 0.000 0.000 0.000
In1 0.303 0.303 0.000
Fe1 0.637 0.637 0.000